[1]
Computed, not measured: crystalline LiNbZnO4 at its relaxed geometry at the PBE level of DFT.

Summary:
**DOS at the Fermi energy**: 0.00 states/eV per cell
**Energy relative to the elements, uncorrected**: -2182.0 meV per atom
**Final energy**: -0.2539 hartree per atom
**V**: 324 Å³ per cell

Cell lengths 6.171, 6.171, 8.505 Å; angles 90.00, 90.00, 90.00 degrees
Space group P4_322 (No. 95)
One atom of each set of equivalent atoms:
Li (0.000, 0.219, 0.000) x4
Nb (0.213, 0.500, 0.250) x4
Zn (0.259, 0.259, 0.625) x4
O (0.017, 0.263, 0.253) x8
O (0.266, 0.483, 0.016) x8



[2]
Computed, not measured: crystalline Hf2Ni3Rh3 at its relaxed geometry at the PBE level of DFT.

Summary:
**DOS at the Fermi energy**: 9.47 states/eV per cell
**Final energy**: -0.2962 hartree per atom
**ΔH_f (0 K)**: -0.646 eV/atom
**V**: 114 Å³ per cell

Cell lengths 3.872, 3.896, 7.580 Å; angles 90.00, 90.00, 90.00 degrees
Space group Pmmm (No. 47)
One atom of each set of equivalent atoms:
Hf (0.000, 0.000, 0.248) x2
Ni (0.000, 0.500, 0.000) x1
Ni (0.500, 0.500, 0.245) x2
Rh (0.000, 0.500, 0.500) x1
Rh (0.500, 0.000, 0.000) x1
Rh (0.500, 0.000, 0.500) x1



[3]
Computed, not measured: crystalline Ag3PbN at its relaxed geometry at the PBE level of DFT.

Summary:
**DOS at the Fermi energy**: 1.52 states/eV per cell
**Energy relative to the elements, uncorrected**: 608.3 meV per atom
**Final energy**: -0.1290 hartree per atom
**V**: 95 Å³ per cell

Cell lengths 4.563, 4.563, 4.563 Å; angles 90.00, 90.00, 90.00 degrees
Space group Pm-3m (No. 221)
One atom of each set of equivalent atoms:
Ag (0.000, 0.000, 0.500) x3
Pb (0.500, 0.500, 0.500) x1
N (0.000, 0.000, 0.000) x1



[4]
Computed, not measured: crystalline TbPHRh at its relaxed geometry at the PBE level of DFT.

Summary:
**DOS at the Fermi energy**: 3.43 states/eV per cell
**Final energy**: -0.2273 hartree per atom
**V**: 112 Å³ per cell

Cell lengths 3.926, 3.926, 7.291 Å; angles 90.00, 90.00, 90.00 degrees
Space group P4/nmm (No. 129, origin choice 2)
One atom of each set of equivalent atoms:
Tb (0.250, 0.250, 0.160) x2
P (0.250, 0.250, 0.694) x2
H (0.250, 0.750, 0.000) x2
Rh (0.250, 0.750, 0.500) x2



[5]
Computed, not measured: crystalline Ba2NaCd16 at its relaxed geometry at the PBE level of DFT.

Summary:
**DOS at the Fermi energy**: 21.74 states/eV per cell
**Final energy**: -0.0453 hartree per atom
**ΔH_f (0 K)**: -0.191 eV/atom
**V**: 1451 Å³ per cell

Cell lengths 10.4599, 10.4599, 15.3152 Å; angles 90.00, 90.00, 120.00 degrees
Space group R3m (No. 160, hexagonal axes)
One atom of each set of equivalent atoms:
Ba (0.0000, 0.0000, 0.0000) x3
Ba (0.0000, 0.0000, 0.3199) x3
Na (0.0000, 0.0000, 0.7534) x3
Cd (0.0000, 0.0000, 0.5502) x3
Cd (0.9998, 0.2945, 0.6614) x18
Cd (0.0019, 0.5010, 0.1613) x9
Cd (0.0099, 0.5050, 0.8115) x9
Cd (0.1695, 0.3390, 0.8440) x9



[6]
Computed, not measured: crystalline KAuSe5 at its relaxed geometry at the PBE level of DFT.

Summary:
**Energy relative to the elements, uncorrected**: -340.4 meV per atom
**Final energy**: -0.1269 hartree per atom
**V**: 1762 Å³ per cell

Cell lengths 9.258, 11.379, 16.729 Å; angles 90.00, 90.00, 90.00 degrees
Space group Ibam (No. 72)
One atom of each set of equivalent atoms:
K (0.000, 0.000, 0.000) x4
K (0.000, 0.500, 0.250) x4
Au (0.000, 0.131, 0.250) x8
Se (0.083, 0.356, 0.000) x8
Se (0.202, 0.126, 0.155) x16
Se (0.230, 0.327, 0.115) x16